Entry from Alexandria via LeMat-Bulk: a relaxed CrSi3F crystal (PBE+U).

abc: 4.459 4.459 4.459
angles: 90.00 90.00 90.00
Space group Pm-3m (No. 221)
One atom of each set of equivalent atoms:
Cr 0.000 0.000 0.000
Si 0.000 0.000 0.500
F 0.500 0.500 0.500

## Properties
- ΔE to the lowest computed polymorph (meV per atom) = 0
- calculated density (g/cm³) = 2.9
- volume (Å³/f.u.) = 88.7